Entry 1:
The following is a DFT calculation (PBEsol) of a relaxed structure of Ca2CdPb.

Computed properties:
ΔE to the lowest computed polymorph, eV per atom: 0.0000

a b c (Å): 7.612 7.612 7.612
angles (deg): 90.00 90.00 90.00
Space group Fm-3m (No. 225)
Asymmetric unit:
Ca: 0.250 0.250 0.250
Cd: 0.000 0.000 0.000
Pb: 0.000 0.000 0.500


Entry 2:
The following is a DFT calculation (PBEsol) of a relaxed structure of Ca2Cd2Pb.

Computed properties:
VASP energy, eV per atom: -2.47

a b c (Å): 8.223 8.223 4.013
angles (deg): 90.00 90.00 90.00
Space group P4/mbm (No. 127)
Asymmetric unit:
Ca: 0.174 0.326 0.000
Cd: 0.123 0.623 0.500
Pb: 0.000 0.000 0.500


Entry 3:
The following is a DFT calculation (PBEsol) of a relaxed structure of CaCdPb2.

Computed properties:
VASP energy, eV per atom: -3.16

a b c (Å): 4.834 4.834 4.530
angles (deg): 90.00 90.00 90.00
Space group P4/mmm (No. 123)
Asymmetric unit:
Ca: 0.000 0.000 0.000
Cd: 0.500 0.500 0.000
Pb: 0.000 0.500 0.500


no.,DOS at the Fermi energy (states/eV per atom),total moment (μB per cell)
1,0.219,0.00
2,0.559,0.00
3,0.432,0.00